Record 1
{"formula": "Cs3PdF5", "functional": "GGA-PBE", "state": "optimized geometry", "e_form_raw_mev_per_atom": -2105, "spacegroup": "No. 140", "lattice": [[-1.0493, 7.8328, -1.1516], [-3.3318, 0.6169, 7.2317], [8.5644, -2.9552, -0.2118]], "species": ["F", "F", "F", "Pd", "Cs", "Cs", "F", "F", "Cs", "Cs", "F", "F", "Cs", "F", "Cs", "F", "Pd", "F"], "frac_coords": [[0.9855, 0.4855, 0.7130], [0.5145, 0.2726, 0.2871], [0.2274, 0.9855, 0.7130], [0.7500, 0.2500, 0.5000], [0.2500, 0.2500, 0.5000], [0.1776, 0.3224, 0.0000], [0.0000, 0.0000, 0.0000], [0.5000, 0.5000, 0.0000], [0.8224, 0.6776, 0.0000], [0.6776, 0.1776, 0.0000], [0.7274, 0.2274, 0.7130], [0.2726, 0.7726, 0.2871], [0.3224, 0.8224, 0.0000], [0.7726, 0.0145, 0.2871], [0.7500, 0.7500, 0.5000], [0.4855, 0.7274, 0.7130], [0.2500, 0.7500, 0.5000], [0.0145, 0.5145, 0.2871]]}

---

Record 2
{"formula": "CsCu4F12", "functional": "GGA-PBE", "state": "optimized geometry", "e_form_raw_mev_per_atom": -1508, "spacegroup": "No. 204", "lattice": [[6.7647, 0.0000, 0.0000], [-2.2549, 6.3778, 0.0000], [-2.2549, -3.1889, 5.5234]], "species": ["F", "Cu", "Cs", "F", "Cu", "F", "F", "Cu", "F", "F", "F", "Cu", "F", "F", "F", "F", "F"], "frac_coords": [[0.5142, 0.2561, 0.2582], [0.0000, 0.5000, 0.0000], [0.0000, 0.0000, 0.0000], [0.2582, 0.5142, 0.2561], [0.0000, 0.0000, 0.5000], [0.9979, 0.2561, 0.7418], [0.4858, 0.7439, 0.7418], [0.5000, 0.5000, 0.5000], [0.7418, 0.4858, 0.7439], [0.2561, 0.7418, 0.9979], [0.7439, 0.7418, 0.4858], [0.5000, 0.0000, 0.0000], [0.7418, 0.9979, 0.2561], [0.2561, 0.2582, 0.5142], [0.7439, 0.2582, 0.0021], [0.2582, 0.0021, 0.7439], [0.0021, 0.7439, 0.2582]]}

---

Record 3
{"formula": "Rb4La3ZnS8", "functional": "GGA-PBE", "state": "optimized geometry", "e_form_raw_mev_per_atom": -1481, "spacegroup": "No. 12", "lattice": [[8.3457, 0.0000, 0.0000], [0.0000, 9.0615, 0.4344], [-4.1728, -4.2108, 6.1696]], "species": ["Rb", "La", "La", "La", "S", "S", "S", "S", "Rb", "S", "S", "Rb", "Zn", "Rb", "S", "S"], "frac_coords": [[0.0000, 0.0000, 0.0000], [0.0000, 0.5000, 0.5000], [0.5000, 0.5000, 0.5000], [0.5000, 0.5000, 0.0000], [0.2565, 0.7191, 0.5130], [0.2030, 0.6775, 0.9649], [0.7970, 0.3225, 0.0351], [0.2715, 0.3001, 0.5430], [0.5000, 0.0000, 0.0000], [0.7285, 0.6999, 0.4570], [0.2381, 0.3225, 0.0351], [0.5000, 0.0000, 0.5000], [0.0000, 0.5000, 0.0000], [0.0000, 0.0000, 0.5000], [0.7619, 0.6775, 0.9649], [0.7435, 0.2809, 0.4870]]}

---

Record 4
{"formula": "MoPtC", "functional": "GGA-PBE", "state": "optimized geometry", "formation_enthalpy_0k_ev_per_atom": 0.410, "spacegroup": "No. 139", "lattice": [[-2.7441, 1.8067, -0.2025], [-1.1148, -1.3827, 2.7715], [5.0678, 4.9868, 2.5716]], "species": ["Pt", "Mo", "C", "Pt", "C", "Mo"], "frac_coords": [[0.3021, 0.3021, 0.6042], [0.9065, 0.9065, 0.8129], [0.0000, 0.5000, 0.0000], [0.6979, 0.6979, 0.3958], [0.5000, 0.0000, 0.0000], [0.0935, 0.0935, 0.1871]]}

---

Record 5
{"formula": "CaThIn", "functional": "GGA-PBE", "state": "optimized geometry", "formation_enthalpy_0k_ev_per_atom": -0.132, "spacegroup": "No. 107", "lattice": [[-1.6488, 3.1398, -0.2355], [-0.8249, -0.6873, -3.3882], [-5.1078, -4.3940, 3.9991]], "species": ["Th", "In", "Ca"], "frac_coords": [[0.2670, 0.2670, 0.5341], [0.6155, 0.6155, 0.2309], [0.9675, 0.9675, 0.9350]]}

---

Record 6
{"formula": "Dy3HoPb2", "functional": "GGA-PBE", "state": "optimized geometry", "formation_enthalpy_0k_ev_per_atom": -0.416, "spacegroup": "No. 115", "lattice": [[-3.9251, -0.9067, -2.1251], [-1.4479, -2.2994, 3.6553], [-3.3857, 7.1938, 3.1842]], "species": ["Pb", "Ho", "Pb", "Dy", "Dy", "Dy"], "frac_coords": [[0.5000, 0.0000, 0.7149], [0.5000, 0.5000, 0.0000], [0.0000, 0.5000, 0.2851], [0.0000, 0.5000, 0.6585], [0.0000, 0.0000, 0.0000], [0.5000, 0.0000, 0.3415]]}

---

Record 7
{"formula": "Sm3Sb2Br2", "functional": "GGA-PBE", "state": "optimized geometry", "e_form_raw_mev_per_atom": -1295, "spacegroup": "No. 12", "lattice": [[4.3676, 0.0000, 0.0000], [0.0000, 7.6374, 0.1368], [-2.1838, -1.8393, 7.0377]], "species": ["Sm", "Br", "Sb", "Sb", "Sm", "Sm", "Br"], "frac_coords": [[0.7548, 0.2266, 0.5096], [0.1405, 0.3669, 0.2811], [0.3880, 0.1517, 0.7760], [0.6120, 0.8483, 0.2240], [0.2452, 0.7734, 0.4904], [0.0000, 0.0000, 0.0000], [0.8595, 0.6331, 0.7189]]}

---

Question: What is the formula in the fifth record?
Answer: CaThIn